Record 1
# AcHo7Tm2 (PBE, optimized geometry)
data_AcHo7Tm2
_chemical_formula_sum 'Ac2 Ho14 Tm4'
_space_group_name_H-M_alt 'I m m m'
_space_group_IT_number 71
_space_group_name_Hall '-I 2 2'
_cell_length_a 5.4254
_cell_length_b 7.0715
_cell_length_c 16.7575
_cell_angle_alpha 90.00
_cell_angle_beta 90.00
_cell_angle_gamma 90.00
loop_
_atom_site_label
_atom_site_fract_x
_atom_site_fract_y
_atom_site_fract_z
_atom_site_occupancy
Ac1 0.0000 0.0000 0.0000 1
Ho1 0.0000 0.0000 0.2037 1
Ho2 0.0000 0.2448 0.3877 1
Ho3 0.0000 0.5000 0.0000 1
Tm1 0.0000 0.5000 0.1994 1
# density of states at the Fermi level	1.671	states/eV per atom
# energy of formation from the pure elements	56	meV per atom
# total magnetic moment	0.000	μB/atom
# energy above the lowest structure with this stoichiometry	0.000	eV per atom

Record 2
# AcHo6Tm2 (PBE, optimized geometry)
data_AcHo6Tm2
_chemical_formula_sum 'Ac1 Ho6 Tm2'
_space_group_name_H-M_alt 'P -6 m 2'
_space_group_IT_number 187
_space_group_name_Hall 'P -6 2'
_cell_length_a 3.6028
_cell_length_b 3.6028
_cell_length_c 26.1842
_cell_angle_alpha 90.00
_cell_angle_beta 90.00
_cell_angle_gamma 120.00
loop_
_atom_site_label
_atom_site_fract_x
_atom_site_fract_y
_atom_site_fract_z
_atom_site_occupancy
Ac1 0.0000 0.0000 0.0000 1
Ho1 0.0000 0.0000 0.2250 1
Ho2 0.0000 0.0000 0.4357 1
Ho3 0.3333 0.6667 0.1188 1
Tm1 0.3333 0.6667 0.3315 1
# density of states at the Fermi level	1.744	states/eV per atom
# energy of formation from the pure elements	79	meV per atom
# total magnetic moment	0.175	μB/atom
# energy above the lowest structure with this stoichiometry	0.000	eV per atom

Record 3
# AcHoTm6 (PBE, optimized geometry)
data_AcHoTm6
_chemical_formula_sum 'Ac2 Ho2 Tm12'
_space_group_name_H-M_alt 'A m m 2'
_space_group_IT_number 38
_space_group_name_Hall 'A 2 -2'
_cell_length_a 4.9936
_cell_length_b 10.0658
_cell_length_c 10.0977
_cell_angle_alpha 90.00
_cell_angle_beta 90.00
_cell_angle_gamma 90.00
loop_
_atom_site_label
_atom_site_fract_x
_atom_site_fract_y
_atom_site_fract_z
_atom_site_occupancy
Ac1 0.0000 0.0000 0.0000 1
Ho1 0.5000 0.0000 0.7427 1
Tm1 0.0000 0.0000 0.4993 1
Tm2 0.0000 0.2500 0.2498 1
Tm3 0.5000 0.0000 0.2570 1
Tm4 0.5000 0.2430 0.4996 1
# density of states at the Fermi level	1.431	states/eV per atom
# energy of formation from the pure elements	53	meV per atom
# total magnetic moment	0.000	μB/atom

Record 4
# AcHo7Tm4 (PBE, optimized geometry)
data_AcHo7Tm4
_chemical_formula_sum 'Ac1 Ho7 Tm4'
_space_group_name_H-M_alt 'P -1'
_space_group_IT_number 2
_space_group_name_Hall '-P 1'
_cell_length_a 6.1832
_cell_length_b 7.1615
_cell_length_c 8.8160
_cell_angle_alpha 90.03
_cell_angle_beta 103.60
_cell_angle_gamma 90.00
loop_
_atom_site_label
_atom_site_fract_x
_atom_site_fract_y
_atom_site_fract_z
_atom_site_occupancy
Ac1 0.0000 0.0000 0.0000 1
Ho1 0.0000 0.5000 0.0000 1
Ho2 0.2247 0.0002 0.6607 1
Ho3 0.2805 0.7456 0.3381 1
Ho4 0.4998 0.2558 0.0001 1
Tm1 0.2205 0.5001 0.6642 1
Tm2 0.2796 0.2545 0.3376 1
# density of states at the Fermi level	1.409	states/eV per atom
# energy of formation from the pure elements	14	meV per atom
# total magnetic moment	0.000	μB/atom

Record 5
# AcHo7Tm3 (PBE, optimized geometry)
data_AcHo7Tm3
_chemical_formula_sum 'Ac1 Ho7 Tm3'
_space_group_name_H-M_alt 'P 1 2/m 1'
_space_group_IT_number 10
_space_group_name_Hall '-P 2y'
_cell_length_a 6.9505
_cell_length_b 5.5582
_cell_length_c 9.7809
_cell_angle_alpha 90.00
_cell_angle_beta 108.15
_cell_angle_gamma 90.00
loop_
_atom_site_label
_atom_site_fract_x
_atom_site_fract_y
_atom_site_fract_z
_atom_site_occupancy
Ac1 0.0000 0.0000 0.0000 1
Ho1 0.0000 0.0000 0.5000 1
Ho2 0.1478 0.5000 0.7883 1
Ho3 0.3341 0.5000 0.1449 1
Ho4 0.4372 0.0000 0.3340 1
Tm1 0.2734 0.5000 0.4916 1
Tm2 0.5000 0.0000 0.0000 1
# density of states at the Fermi level	1.513	states/eV per atom
# energy of formation from the pure elements	153	meV per atom
# total magnetic moment	0.000	μB/atom
# energy above the lowest structure with this stoichiometry	0.000	eV per atom

Record 6
# AcHo15Tm4 (PBE, optimized geometry)
data_AcHo15Tm4
_chemical_formula_sum 'Ac1 Ho15 Tm4'
_space_group_name_H-M_alt 'P 4/m m m'
_space_group_IT_number 123
_space_group_name_Hall '-P 4 2'
_cell_length_a 5.0012
_cell_length_b 5.0012
_cell_length_c 25.0405
_cell_angle_alpha 90.00
_cell_angle_beta 90.00
_cell_angle_gamma 90.00
loop_
_atom_site_label
_atom_site_fract_x
_atom_site_fract_y
_atom_site_fract_z
_atom_site_occupancy
Ac1 0.0000 0.0000 0.0000 1
Ho1 0.0000 0.5000 0.1058 1
Ho2 0.0000 0.5000 0.3027 1
Ho3 0.0000 0.5000 0.5000 1
Ho4 0.5000 0.5000 0.0000 1
Ho5 0.5000 0.5000 0.2048 1
Ho6 0.5000 0.5000 0.4013 1
Tm1 0.0000 0.0000 0.2036 1
Tm2 0.0000 0.0000 0.4014 1
# density of states at the Fermi level	1.359	states/eV per atom
# energy of formation from the pure elements	33	meV per atom
# total magnetic moment	0.000	μB/atom

Record 7
# Ac14HoTm (PBE, optimized geometry)
data_Ac14HoTm
_chemical_formula_sum 'Ac28 Ho2 Tm2'
_space_group_name_H-M_alt 'A m m 2'
_space_group_IT_number 38
_space_group_name_Hall 'A 2 -2'
_cell_length_a 11.1735
_cell_length_b 11.1083
_cell_length_c 11.1076
_cell_angle_alpha 90.00
_cell_angle_beta 90.00
_cell_angle_gamma 90.00
loop_
_atom_site_label
_atom_site_fract_x
_atom_site_fract_y
_atom_site_fract_z
_atom_site_occupancy
Ac1 0.0000 0.0000 0.0002 1
Ac2 0.0000 0.0000 0.5000 1
Ac3 0.0000 0.2495 0.2501 1
Ac4 0.2564 0.0000 0.7500 1
Ac5 0.2569 0.2502 0.0001 1
Ac6 0.2575 0.0000 0.2502 1
Ac7 0.5000 0.2495 0.7501 1
Ho1 0.5000 0.0000 0.9999 1
Tm1 0.5000 0.0000 0.5003 1
# density of states at the Fermi level	1.657	states/eV per atom
# energy of formation from the pure elements	33	meV per atom
# total magnetic moment	0.000	μB/atom

Record 8
# Ac2Ho6Tm5 (PBE, optimized geometry)
data_Ac2Ho6Tm5
_chemical_formula_sum 'Ac4 Ho12 Tm10'
_space_group_name_H-M_alt 'P b a m'
_space_group_IT_number 55
_space_group_name_Hall '-P 2 2ab'
_cell_length_a 11.8402
_cell_length_b 20.1209
_cell_length_c 3.6170
_cell_angle_alpha 90.00
_cell_angle_beta 90.00
_cell_angle_gamma 90.00
loop_
_atom_site_label
_atom_site_fract_x
_atom_site_fract_y
_atom_site_fract_z
_atom_site_occupancy
Ac1 0.1594 0.2215 0.0000 1
Ho1 0.0592 0.9249 0.0000 1
Ho2 0.0761 0.6375 0.0000 1
Ho3 0.1815 0.3828 0.5000 1
Tm1 0.0000 0.5000 0.5000 1
Tm2 0.1019 0.7823 0.5000 1
Tm3 0.2002 0.0520 0.5000 1
# density of states at the Fermi level	1.411	states/eV per atom
# energy of formation from the pure elements	126	meV per atom
# total magnetic moment	0.000	μB/atom

Record 9
# AcHoTm2 (PBE, optimized geometry)
data_AcHoTm2
_chemical_formula_sum 'Ac4 Ho4 Tm8'
_space_group_name_H-M_alt 'F m -3 m'
_space_group_IT_number 225
_space_group_name_Hall '-F 4 2 3'
_cell_length_a 8.1622
_cell_length_b 8.1622
_cell_length_c 8.1622
_cell_angle_alpha 90.00
_cell_angle_beta 90.00
_cell_angle_gamma 90.00
loop_
_atom_site_label
_atom_site_fract_x
_atom_site_fract_y
_atom_site_fract_z
_atom_site_occupancy
Ac1 0.0000 0.0000 0.0000 1
Ho1 0.0000 0.0000 0.5000 1
Tm1 0.2500 0.2500 0.2500 1
# density of states at the Fermi level	1.392	states/eV per atom
# energy of formation from the pure elements	121	meV per atom
# total magnetic moment	0.000	μB/atom
# energy above the lowest structure with this stoichiometry	0.065	eV per atom

Record 10
# AcHo8Tm6 (PBE, optimized geometry)
data_AcHo8Tm6
_chemical_formula_sum 'Ac1 Ho8 Tm6'
_space_group_name_H-M_alt 'P -3'
_space_group_IT_number 147
_space_group_name_Hall '-P 3'
_cell_length_a 9.4540
_cell_length_b 9.4540
_cell_length_c 6.3765
_cell_angle_alpha 90.00
_cell_angle_beta 90.00
_cell_angle_gamma 120.00
loop_
_atom_site_label
_atom_site_fract_x
_atom_site_fract_y
_atom_site_fract_z
_atom_site_occupancy
Ac1 0.0000 0.0000 0.0000 1
Ho1 0.0257 0.6845 0.4125 1
Ho2 0.3333 0.6667 0.6625 1
Tm1 0.1066 0.4264 0.0877 1
# density of states at the Fermi level	1.408	states/eV per atom
# energy of formation from the pure elements	219	meV per atom
# total magnetic moment	0.000	μB/atom
# energy above the lowest structure with this stoichiometry	0.061	eV per atom

Record 11
# Ac2Ho15Tm2 (PBE, optimized geometry)
data_Ac2Ho15Tm2
_chemical_formula_sum 'Ac6 Ho45 Tm6'
_space_group_name_H-M_alt 'R -3 m'
_space_group_IT_number 166
_space_group_name_Hall '-R 3 2"'
_cell_length_a 11.2272
_cell_length_b 11.2272
_cell_length_c 17.6426
_cell_angle_alpha 90.00
_cell_angle_beta 90.00
_cell_angle_gamma 120.00
loop_
_atom_site_label
_atom_site_fract_x
_atom_site_fract_y
_atom_site_fract_z
_atom_site_occupancy
Ac1 0.0000 0.0000 0.1127 1
Ho1 0.0000 0.3086 0.0000 1
Ho2 0.0000 0.5000 0.5000 1
Ho3 0.0182 0.5091 0.1378 1
Tm1 0.0000 0.0000 0.3296 1
# density of states at the Fermi level	1.661	states/eV per atom
# energy of formation from the pure elements	307	meV per atom
# total magnetic moment	0.000	μB/atom

Record 12
# AcHoTm2 (PBE, optimized geometry)
data_AcHoTm2
_chemical_formula_sum 'Ac1 Ho1 Tm2'
_space_group_name_H-M_alt 'P 4/m m m'
_space_group_IT_number 123
_space_group_name_Hall '-P 4 2'
_cell_length_a 5.1544
_cell_length_b 5.1544
_cell_length_c 5.0706
_cell_angle_alpha 90.00
_cell_angle_beta 90.00
_cell_angle_gamma 90.00
loop_
_atom_site_label
_atom_site_fract_x
_atom_site_fract_y
_atom_site_fract_z
_atom_site_occupancy
Ac1 0.0000 0.0000 0.0000 1
Ho1 0.5000 0.5000 0.0000 1
Tm1 0.0000 0.5000 0.5000 1
# density of states at the Fermi level	1.791	states/eV per atom
# energy of formation from the pure elements	74	meV per atom
# total magnetic moment	0.012	μB/atom
# energy above the lowest structure with this stoichiometry	0.018	eV per atom